! Tb5PrNdDy2 PBE optimized geometry; values from VASP
! crystal system = tetragonal
! volume = 598.04 Å³/cell
! energy of formation = 239.6 kJ/mol of formula units
&SYSTEM
  ibrav = 0, nat = 18, ntyp = 4
/
ATOMIC_SPECIES
Tb 158.93 Tb.upf
Pr 140.91 Pr.upf
Nd 144.24 Nd.upf
Dy 162.50 Dy.upf
CELL_PARAMETERS angstrom
8.9412 0.0000 0.0000
0.0000 8.9412 0.0000
-4.4706 -4.4706 7.4807
ATOMIC_POSITIONS crystal
Tb 0.9289 0.4289 0.2636
Tb 0.6652 0.1652 0.7363
Tb 0.0711 0.5711 0.7363
Tb 0.1652 0.0711 0.7363
Tb 0.5711 0.6652 0.7363
Tb 0.8348 0.9289 0.2636
Tb 0.4289 0.3348 0.2636
Tb 0.3348 0.8348 0.2636
Tb 0.5000 0.5000 0.0000
Tb 0.0000 0.0000 0.0000
Pr 0.2500 0.2500 0.5000
Pr 0.7500 0.7500 0.5000
Nd 0.2500 0.7500 0.5000
Nd 0.7500 0.2500 0.5000
Dy 0.1141 0.3859 0.0000
Dy 0.6141 0.1141 0.0000
Dy 0.3859 0.8859 0.0000
Dy 0.8859 0.6141 0.0000